! Al2Ru2Br | Alexandria via LeMat-Bulk | PBE-GGA | relaxed; values from VASP
&SYSTEM
  ibrav = 0, nat = 10, ntyp = 3
/
ATOMIC_SPECIES
Al 26.98 Al.upf
Ru 101.07 Ru.upf
Br 79.90 Br.upf
CELL_PARAMETERS angstrom
7.1649 0.0000 0.0000
0.0000 7.1649 0.0000
0.0000 0.0000 3.1121
ATOMIC_POSITIONS crystal
Al 0.1367 0.3633 0.0000
Al 0.3633 0.8633 0.0000
Al 0.6367 0.1367 0.0000
Al 0.8633 0.6367 0.0000
Ru 0.1546 0.6546 0.5000
Ru 0.3454 0.1546 0.5000
Ru 0.6546 0.8454 0.5000
Ru 0.8454 0.3454 0.5000
Br 0.0000 0.0000 0.5000
Br 0.5000 0.5000 0.5000
! total magnetization	0.000	Bohr magnetons per cell
! distance to the lowest polymorph of the same formula	0.0	meV/atom
! symmetry	P4/mbm